one | # Hg2S | OQMD | PBE | relaxed
data_Hg2S
_cell_length_a 6.695
_cell_length_b 6.695
_cell_length_c 6.695
_cell_angle_alpha 134.67
_cell_angle_beta 134.67
_cell_angle_gamma 66.04
_symmetry_space_group_name_H-M 'P 1'
_symmetry_Int_Tables_number 1
loop_
_symmetry_equiv_pos_as_xyz
'x,y,z'
loop_
_atom_site_label
_atom_site_type_symbol
_atom_site_fract_x
_atom_site_fract_y
_atom_site_fract_z
_atom_site_occupancy
Hg1 Hg 0.023 0.625 0.898 1
Hg2 Hg 0.375 0.273 0.398 1
Hg3 Hg 0.727 0.125 0.102 1
Hg4 Hg 0.875 0.977 0.602 1
S1 S 0.250 0.750 0.500 1
S2 S 0.500 0.500 0.000 1
# * symmetry: I-42d, No. 122
# * mass density: 9.63 Mg/m³

=====

two | # Hg2S | OQMD | PBE | relaxed
data_Hg2S
_cell_length_a 5.832
_cell_length_b 5.832
_cell_length_c 5.832
_cell_angle_alpha 60.00
_cell_angle_beta 60.00
_cell_angle_gamma 60.00
_symmetry_space_group_name_H-M 'P 1'
_symmetry_Int_Tables_number 1
loop_
_symmetry_equiv_pos_as_xyz
'x,y,z'
loop_
_atom_site_label
_atom_site_type_symbol
_atom_site_fract_x
_atom_site_fract_y
_atom_site_fract_z
_atom_site_occupancy
Hg1 Hg 0.000 0.000 0.000 1
Hg2 Hg 0.000 0.000 0.500 1
Hg3 Hg 0.000 0.500 0.000 1
Hg4 Hg 0.500 0.000 0.000 1
S1 S 0.375 0.375 0.375 1
S2 S 0.625 0.625 0.625 1
# * symmetry: Fd-3m, No. 227
# * mass density: 10.26 Mg/m³

=====

three | # Hg2S | OQMD | PBE | relaxed
data_Hg2S
_cell_length_a 6.395
_cell_length_b 6.395
_cell_length_c 4.386
_cell_angle_alpha 90.00
_cell_angle_beta 90.00
_cell_angle_gamma 90.00
_symmetry_space_group_name_H-M 'P 1'
_symmetry_Int_Tables_number 1
loop_
_symmetry_equiv_pos_as_xyz
'x,y,z'
loop_
_atom_site_label
_atom_site_type_symbol
_atom_site_fract_x
_atom_site_fract_y
_atom_site_fract_z
_atom_site_occupancy
Hg1 Hg 0.200 0.200 0.000 1
Hg2 Hg 0.300 0.700 0.500 1
Hg3 Hg 0.700 0.300 0.500 1
Hg4 Hg 0.800 0.800 0.000 1
S1 S 0.000 0.000 0.500 1
S2 S 0.500 0.500 0.000 1
# * symmetry: P4_2/mnm, No. 136
# * mass density: 8.02 Mg/m³

=====

four | # Hg2S | OQMD | PBE | relaxed
data_Hg2S
_cell_length_a 8.782
_cell_length_b 8.782
_cell_length_c 8.782
_cell_angle_alpha 60.00
_cell_angle_beta 60.00
_cell_angle_gamma 60.00
_symmetry_space_group_name_H-M 'P 1'
_symmetry_Int_Tables_number 1
loop_
_symmetry_equiv_pos_as_xyz
'x,y,z'
loop_
_atom_site_label
_atom_site_type_symbol
_atom_site_fract_x
_atom_site_fract_y
_atom_site_fract_z
_atom_site_occupancy
Hg1 Hg 0.000 0.000 0.000 1
Hg2 Hg 0.000 0.000 0.500 1
Hg3 Hg 0.000 0.500 0.000 1
Hg4 Hg 0.500 0.000 0.000 1
S1 S 0.125 0.125 0.125 1
S2 S 0.875 0.875 0.875 1
# * symmetry: Fd-3m, No. 227
# * mass density: 3.00 Mg/m³

=====

Stability ranking, top and bottom: one is the most stable and two is the least stable.